1.
LaReIr | PBE | relaxed

Results
Fermi-level density of states ... 2.13 states/eV/f.u.
Final energy ... -26.6 eV per cell
Distance to the lowest polymorph of the same formula ... 0 meV per atom
Energy relative to the elements ... -37 kJ/mol of formula units

Unit cell a=4.251 b=4.251 c=4.565 alpha=90.00 beta=90.00 gamma=120.00
Positions (direct):
Re  0.333  0.667  0.834
La  0.667  0.333  0.333
Ir  0.000  0.000  0.833

2.
LaReIr2 | PBE | relaxed

Results
Fermi-level density of states ... 4.39 states/eV/f.u.
Final energy ... -33.7 eV per cell
Distance to the lowest polymorph of the same formula ... 451 meV per atom
Energy relative to the elements ... 136 kJ/mol of formula units

Unit cell a=5.100 b=5.100 c=5.100 alpha=131.93 beta=131.93 gamma=70.33
Positions (direct):
La  0.500  0.500  0.000
Ir  0.000  0.000  0.000
Ir  0.250  0.750  0.500
Re  0.750  0.250  0.500

3.
LaReIr2 | PBE | relaxed

Results
Fermi-level density of states ... 1.95 states/eV/f.u.
Final energy ... -34.3 eV per cell
Distance to the lowest polymorph of the same formula ... 303 meV per atom
Energy relative to the elements ... 79 kJ/mol of formula units

Unit cell a=3.186 b=3.186 c=7.468 alpha=90.00 beta=90.00 gamma=90.00
Positions (direct):
Ir  0.500  0.500  0.207
Ir  0.000  0.000  0.984
La  0.000  0.000  0.490
Re  0.500  0.500  0.819

4.
La3ReIr | PBE | relaxed

Results
Fermi-level density of states ... 4.20 states/eV/f.u.
Final energy ... -33.7 eV per cell
Distance to the lowest polymorph of the same formula ... 0 meV per atom
Energy relative to the elements ... 232 kJ/mol of formula units

Unit cell a=5.367 b=5.367 c=5.367 alpha=90.00 beta=90.00 gamma=90.00
Positions (direct):
La  0.000  0.000  0.500
La  0.000  0.500  0.000
La  0.500  0.000  0.000
Ir  0.500  0.500  0.500
Re  0.000  0.000  0.000

5.
LaRe2Ir | PBE | relaxed

Results
Fermi-level density of states ... 4.07 states/eV/f.u.
Final energy ... -36.6 eV per cell
Distance to the lowest polymorph of the same formula ... 406 meV per atom
Energy relative to the elements ... 206 kJ/mol of formula units

Unit cell a=2.957 b=4.801 c=5.141 alpha=90.00 beta=90.00 gamma=90.00
Positions (direct):
La  0.000  0.500  0.500
Ir  0.500  0.000  0.500
Re  0.000  0.000  0.000
Re  0.500  0.500  0.000

6.
LaReIr | PBE | relaxed

Results
Fermi-level density of states ... 2.98 states/eV/f.u.
Final energy ... -26.1 eV per cell
Distance to the lowest polymorph of the same formula ... 179 meV per atom
Energy relative to the elements ... 15 kJ/mol of formula units

Unit cell a=5.997 b=5.997 c=5.997 alpha=152.26 beta=141.52 gamma=48.09
Positions (direct):
Re  0.624  0.624  0.000
Ir  0.043  0.043  0.000
La  0.334  0.334  0.000

7.
LaReIr2 | PBE | relaxed

Results
Fermi-level density of states ... 4.20 states/eV/f.u.
Final energy ... -68.1 eV per cell
Distance to the lowest polymorph of the same formula ... 356 meV per atom
Energy relative to the elements ... 99 kJ/mol of formula units

Unit cell a=4.921 b=4.921 c=8.965 alpha=74.07 beta=74.07 gamma=90.00
Positions (direct):
Ir  0.875  0.048  0.750
Ir  0.798  0.125  0.250
Ir  0.952  0.625  0.250
Ir  0.375  0.202  0.750
La  0.500  0.500  0.000
La  0.250  0.750  0.500
Re  0.750  0.250  0.500
Re  0.000  0.000  0.000

8.
LaReIr2 | PBE | relaxed

Results
Fermi-level density of states ... 3.54 states/eV/f.u.
Final energy ... -34.7 eV per cell
Distance to the lowest polymorph of the same formula ... 200 meV per atom
Energy relative to the elements ... 39 kJ/mol of formula units

Unit cell a=5.019 b=5.019 c=2.924 alpha=89.99 beta=89.99 gamma=106.94
Positions (direct):
Ir  0.000  0.000  0.000
Ir  0.500  0.500  0.000
Re  0.000  0.500  0.500
La  0.500  0.000  0.500

Q: The highest energy relative to the elements belongs to which entry?
A: La3ReIr